(1)
This record from the Alexandria database describes crystalline HfNpTe4 at its relaxed geometry. The functional is PBE.

Results
ΔE_f (raw): -4.0 eV/f.u.
Calculated total energy: -6.575 eV/atom

Cell and atoms, written as CIF:
```
data_HfNpTe4
_chemical_formula_sum 'Hf1 Np1 Te4'
_space_group_name_H-M_alt 'P 1 2/m 1'
_space_group_IT_number 10
_space_group_name_Hall '-P 2y'
_cell_length_a 7.241
_cell_length_b 4.143
_cell_length_c 7.854
_cell_angle_alpha 90.00
_cell_angle_beta 110.63
_cell_angle_gamma 90.00
loop_
_atom_site_label
_atom_site_type_symbol
_atom_site_fract_x
_atom_site_fract_y
_atom_site_fract_z
_atom_site_occupancy
Hf1 Hf 0.000 0.000 0.000 1
Np1 Np 0.500 0.500 0.000 1
Te1 Te 0.223 0.000 0.759 1
Te2 Te 0.245 0.500 0.235 1
```



(2)
This record from the Alexandria database describes crystalline HfNp2Tl3Te6 at its relaxed geometry. The functional is PBE.

Results
ΔE_f (raw): -6.7 eV/f.u.
Calculated total energy: -5.708 eV/atom

Cell and atoms, written as CIF:
```
data_HfNp2Tl3Te6
_chemical_formula_sum 'Hf2 Np4 Tl6 Te12'
_space_group_name_H-M_alt 'C 1 2/m 1'
_space_group_IT_number 12
_space_group_name_Hall '-C 2y'
_cell_length_a 7.552
_cell_length_b 13.038
_cell_length_c 8.641
_cell_angle_alpha 90.00
_cell_angle_beta 106.87
_cell_angle_gamma 90.00
loop_
_atom_site_label
_atom_site_type_symbol
_atom_site_fract_x
_atom_site_fract_y
_atom_site_fract_z
_atom_site_occupancy
Hf1 Hf 0.000 0.000 0.000 1
Np1 Np 0.000 0.335 0.000 1
Tl1 Tl 0.000 0.173 0.500 1
Tl2 Tl 0.000 0.500 0.500 1
Te1 Te 0.227 0.158 0.209 1
Te2 Te 0.242 0.000 0.785 1
```



(3)
This record from the Alexandria database describes crystalline Hf2NpTi at its relaxed geometry. The functional is PBE.

Results
Calculated total energy: -9.851 eV/atom
DFT formation energy: 335 meV/atom

Cell and atoms, written as CIF:
```
data_Hf2NpTi
_chemical_formula_sum 'Hf2 Np1 Ti1'
_space_group_name_H-M_alt 'P 4/m m m'
_space_group_IT_number 123
_space_group_name_Hall '-P 4 2'
_cell_length_a 3.600
_cell_length_b 3.600
_cell_length_c 6.550
_cell_angle_alpha 90.00
_cell_angle_beta 90.00
_cell_angle_gamma 90.00
loop_
_atom_site_label
_atom_site_type_symbol
_atom_site_fract_x
_atom_site_fract_y
_atom_site_fract_z
_atom_site_occupancy
Hf1 Hf 0.000 0.000 0.230 1
Np1 Np 0.500 0.500 0.500 1
Ti1 Ti 0.500 0.500 0.000 1
```



(4)
This record from the Alexandria database describes crystalline HfNpTi2 at its relaxed geometry. The functional is PBE.

Results
Calculated total energy: -9.409 eV/atom
DFT formation energy: 262 meV/atom
ΔE to the lowest computed polymorph: 18.1 meV per atom

Cell and atoms, written as CIF:
```
data_HfNpTi2
_chemical_formula_sum 'Hf4 Np4 Ti8'
_space_group_name_H-M_alt 'F m -3 m'
_space_group_IT_number 225
_space_group_name_Hall '-F 4 2 3'
_cell_length_a 6.795
_cell_length_b 6.795
_cell_length_c 6.795
_cell_angle_alpha 90.00
_cell_angle_beta 90.00
_cell_angle_gamma 90.00
loop_
_atom_site_label
_atom_site_type_symbol
_atom_site_fract_x
_atom_site_fract_y
_atom_site_fract_z
_atom_site_occupancy
Hf1 Hf 0.000 0.000 0.000 1
Np1 Np 0.000 0.000 0.500 1
Ti1 Ti 0.250 0.250 0.250 1
```



In order of appearance, volume = 36.7; 33.9; 21.2; 19.6 A^3/atom.